The following is a DFT calculation (PBE) of an optimized crystal structure of TaMo2AsPb.

It has space group P4/mmm (No. 123), with a = 4.877 Å, b = 4.877 Å, c = 5.372 Å, α = 90.00°, β = 90.00° and γ = 90.00°. The inequivalent atoms are Ta at (0.000, 0.000, 0.000), Mo at (0.000, 0.500, 0.000), As at (0.500, 0.500, 0.500) and Pb at (0.000, 0.000, 0.500).

The calculation puts the mass density at 8.5 Mg/m³. The energy is -33.43 eV/cell. Its formation energy is 1.6882 eV per atom.